# 1
The following is a DFT calculation (PBE) of crystalline Ac5CoHg2Pt at its relaxed geometry. Values from VASP.

Calculated values
* crystal system: orthorhombic
* V: 32.134 Å³ per atom
* magnetization: 0.000 μB per atom
* Fermi-level density of states: 0.9999 states/eV/atom
* energy: -76.4 eV for the cell shown
* formation energy from the elements: -433 meV per atom

```
&SYSTEM
  ibrav = 0, nat = 18, ntyp = 4
/
ATOMIC_SPECIES
Ac 227.00 Ac.upf
Co 58.93 Co.upf
Hg 200.59 Hg.upf
Pt 195.08 Pt.upf
CELL_PARAMETERS angstrom
2.6695 -9.2716 0.0000
2.6695 9.2716 0.0000
0.0000 0.0000 11.6851
ATOMIC_POSITIONS crystal
Ac 0.0076 0.9924 0.5000
Ac 0.1339 0.8661 0.7587
Ac 0.1859 0.8141 0.1196
Ac 0.2110 0.7890 0.4230
Ac 0.4544 0.5456 0.7544
Ac 0.5456 0.4544 0.2544
Ac 0.7890 0.2110 0.9230
Ac 0.8141 0.1859 0.6196
Ac 0.8661 0.1339 0.2587
Ac 0.9924 0.0076 0.0000
Co 0.0356 0.9644 0.2437
Co 0.9644 0.0356 0.7437
Hg 0.3751 0.6249 0.0545
Hg 0.3920 0.6080 0.4560
Hg 0.6080 0.3920 0.9560
Hg 0.6249 0.3751 0.5545
Pt 0.2904 0.7096 0.7685
Pt 0.7096 0.2904 0.2685
```



# 2
The following is a DFT calculation (PBE) of crystalline AcPm3Cd2 at its relaxed geometry. Values from VASP.

Calculated values
* crystal system: tetragonal
* V: 31.634 Å³ per atom
* magnetization: 0.037 μB per atom
* Fermi-level density of states: 1.2757 states/eV/atom
* energy: -21.4 eV for the cell shown
* formation energy from the elements: -206 meV per atom

```
&SYSTEM
  ibrav = 0, nat = 6, ntyp = 3
/
ATOMIC_SPECIES
Ac 227.00 Ac.upf
Pm 145.00 Pm.upf
Cd 112.41 Cd.upf
CELL_PARAMETERS angstrom
3.8294 0.0000 0.0000
0.0000 3.8294 0.0000
0.0000 0.0000 12.9434
ATOMIC_POSITIONS crystal
Ac 0.0000 0.0000 0.0000
Pm 0.5000 0.5000 0.2047
Pm 0.5000 0.5000 0.5000
Pm 0.5000 0.5000 0.7953
Cd 0.0000 0.0000 0.3519
Cd 0.0000 0.0000 0.6481
```



# 3
The following is a DFT calculation (PBE) of crystalline SiOs2RhSe at its relaxed geometry. Values from VASP.

Calculated values
* crystal system: tetragonal
* ΔE_f (raw): 2.032 eV per atom
* V: 20.979 Å³ per atom
* magnetization: 0.000 μB per atom
* Fermi-level density of states: 1.1752 states/eV/atom
* energy: -28.6 eV for the cell shown

```
&SYSTEM
  ibrav = 0, nat = 5, ntyp = 4
/
ATOMIC_SPECIES
Si 28.09 Si.upf
Os 190.23 Os.upf
Rh 102.91 Rh.upf
Se 78.96 Se.upf
CELL_PARAMETERS angstrom
4.7209 0.0000 0.0000
0.0000 4.7209 0.0000
0.0000 0.0000 4.7067
ATOMIC_POSITIONS crystal
Si 0.0000 0.0000 0.0000
Os 0.0000 0.5000 0.5000
Os 0.5000 0.0000 0.5000
Rh 0.5000 0.5000 0.5000
Se 0.5000 0.5000 0.0000
```



# 4
The following is a DFT calculation (PBE) of crystalline Ac2P4Pt3Rh at its relaxed geometry. Values from VASP.

Calculated values
* crystal system: tetragonal
* V: 18.789 Å³ per atom
* magnetization: 0.000 μB per atom
* Fermi-level density of states: 0.5752 states/eV/atom
* energy: -65.4 eV for the cell shown
* formation energy from the elements: -1006 meV per atom

```
&SYSTEM
  ibrav = 0, nat = 10, ntyp = 4
/
ATOMIC_SPECIES
Ac 227.00 Ac.upf
P 30.97 P.upf
Pt 195.08 Pt.upf
Rh 102.91 Rh.upf
CELL_PARAMETERS angstrom
4.3878 0.0000 0.0000
0.0000 4.3878 0.0000
0.0000 0.0000 9.7590
ATOMIC_POSITIONS crystal
Ac 0.0000 0.5000 0.2479
Ac 0.5000 0.0000 0.7521
P 0.0000 0.0000 0.0000
P 0.0000 0.5000 0.6288
P 0.5000 0.0000 0.3712
P 0.5000 0.5000 0.0000
Pt 0.0000 0.5000 0.8873
Pt 0.5000 0.0000 0.1127
Pt 0.5000 0.5000 0.5000
Rh 0.0000 0.0000 0.5000
```



# 5
The following is a DFT calculation (PBE) of crystalline Ca2MgCd2Pd5 at its relaxed geometry. Values from VASP.

Calculated values
* crystal system: tetragonal
* V: 20.027 Å³ per atom
* magnetization: 0.000 μB per atom
* Fermi-level density of states: 0.4219 states/eV/atom
* energy: -76.8 eV for the cell shown
* formation energy from the elements: -501 meV per atom

```
&SYSTEM
  ibrav = 0, nat = 20, ntyp = 4
/
ATOMIC_SPECIES
Ca 40.08 Ca.upf
Mg 24.30 Mg.upf
Cd 112.41 Cd.upf
Pd 106.42 Pd.upf
CELL_PARAMETERS angstrom
10.3023 0.0000 0.0000
0.0000 10.3023 0.0000
0.0000 0.0000 3.7737
ATOMIC_POSITIONS crystal
Ca 0.1692 0.3308 0.0000
Ca 0.3308 0.8308 0.0000
Ca 0.6692 0.1692 0.0000
Ca 0.8308 0.6692 0.0000
Mg 0.0000 0.0000 0.0000
Mg 0.5000 0.5000 0.0000
Cd 0.1318 0.6318 0.0000
Cd 0.3682 0.1318 0.0000
Cd 0.6318 0.8682 0.0000
Cd 0.8682 0.3682 0.0000
Pd 0.0000 0.5000 0.5000
Pd 0.0548 0.8089 0.5000
Pd 0.1911 0.0548 0.5000
Pd 0.3089 0.5548 0.5000
Pd 0.4452 0.3089 0.5000
Pd 0.5000 0.0000 0.5000
Pd 0.5548 0.6911 0.5000
Pd 0.6911 0.4452 0.5000
Pd 0.8089 0.9452 0.5000
Pd 0.9452 0.1911 0.5000
```



# 6
The following is a DFT calculation (PBE) of crystalline BeCu2As at its relaxed geometry. Values from VASP.

Calculated values
* energy above the lowest structure with this stoichiometry: 0.1388 eV/atom
* crystal system: trigonal
* V: 13.043 Å³ per atom
* magnetization: 0.052 μB per atom
* Fermi-level density of states: 0.8250 states/eV/atom
* energy: -15.5 eV for the cell shown
* formation energy from the elements: 255 meV per atom

```
&SYSTEM
  ibrav = 0, nat = 4, ntyp = 3
/
ATOMIC_SPECIES
Be 9.01 Be.upf
Cu 63.55 Cu.upf
As 74.92 As.upf
CELL_PARAMETERS angstrom
1.3917 0.8035 7.7759
-1.3917 0.8035 7.7759
0.0000 -1.6070 7.7759
ATOMIC_POSITIONS crystal
Be 0.0000 0.0000 0.0000
Cu 0.2593 0.2593 0.2593
Cu 0.7407 0.7407 0.7407
As 0.5000 0.5000 0.5000
```



# 7
The following is a DFT calculation (PBE) of crystalline Na2GaSbIr at its relaxed geometry. Values from VASP.

Calculated values
* crystal system: tetragonal
* ΔE_f (raw): 0.471 eV per atom
* V: 32.254 Å³ per atom
* magnetization: 0.000 μB per atom
* Fermi-level density of states: 0.3188 states/eV/atom
* energy: -16.3 eV for the cell shown

```
&SYSTEM
  ibrav = 0, nat = 5, ntyp = 4
/
ATOMIC_SPECIES
Na 22.99 Na.upf
Ga 69.72 Ga.upf
Sb 121.76 Sb.upf
Ir 192.22 Ir.upf
CELL_PARAMETERS angstrom
5.7428 0.0000 0.0000
0.0000 5.7428 0.0000
0.0000 0.0000 4.8900
ATOMIC_POSITIONS crystal
Na 0.0000 0.5000 0.0000
Na 0.5000 0.0000 0.0000
Ga 0.0000 0.0000 0.5000
Sb 0.5000 0.5000 0.0000
Ir 0.5000 0.5000 0.5000
```



# 8
The following is a DFT calculation (PBE) of crystalline ZrAs2Cl at its relaxed geometry. Values from VASP.

Calculated values
* energy above the lowest structure with this stoichiometry: 0.2021 eV/atom
* crystal system: monoclinic
* ΔE_f (raw): -0.530 eV per atom
* V: 20.958 Å³ per atom
* magnetization: 0.000 μB per atom
* Fermi-level density of states: 0.6159 states/eV/atom
* energy: -21.8 eV for the cell shown

```
&SYSTEM
  ibrav = 0, nat = 4, ntyp = 3
/
ATOMIC_SPECIES
Zr 91.22 Zr.upf
As 74.92 As.upf
Cl 35.45 Cl.upf
CELL_PARAMETERS angstrom
5.0050 -1.7062 0.0000
5.0050 1.7062 0.0000
-0.8481 0.0000 4.9085
ATOMIC_POSITIONS crystal
Zr 0.0000 0.0000 0.0000
As 0.2682 0.2682 0.8235
As 0.7318 0.7318 0.1765
Cl 0.5000 0.5000 0.5000
```



# 9
The following is a DFT calculation (PBE) of crystalline YNiPdAu at its relaxed geometry. Values from VASP.

Calculated values
* crystal system: cubic
* V: 17.705 Å³ per atom
* magnetization: 0.000 μB per atom
* Fermi-level density of states: 0.3660 states/eV/atom
* energy: -22.7 eV for the cell shown
* formation energy from the elements: -503 meV per atom

```
&SYSTEM
  ibrav = 0, nat = 4, ntyp = 4
/
ATOMIC_SPECIES
Y 88.91 Y.upf
Ni 58.69 Ni.upf
Pd 106.42 Pd.upf
Au 196.97 Au.upf
CELL_PARAMETERS angstrom
0.0000 3.2838 3.2838
3.2838 0.0000 3.2838
3.2838 3.2838 0.0000
ATOMIC_POSITIONS crystal
Y 0.0000 0.0000 0.0000
Ni 0.2500 0.2500 0.2500
Pd 0.7500 0.7500 0.7500
Au 0.5000 0.5000 0.5000
```



# 10
The following is a DFT calculation (PBE) of crystalline Li4Ac2Sb3Pb at its relaxed geometry. Values from VASP.

Calculated values
* crystal system: tetragonal
* ΔE_f (raw): -0.779 eV per atom
* V: 25.339 Å³ per atom
* magnetization: 0.000 μB per atom
* Fermi-level density of states: 0.2504 states/eV/atom
* energy: -39.7 eV for the cell shown

```
&SYSTEM
  ibrav = 0, nat = 10, ntyp = 4
/
ATOMIC_SPECIES
Li 6.94 Li.upf
Ac 227.00 Ac.upf
Sb 121.76 Sb.upf
Pb 207.20 Pb.upf
CELL_PARAMETERS angstrom
4.7340 0.0000 0.0000
0.0000 4.7340 0.0000
0.0000 0.0000 11.3067
ATOMIC_POSITIONS crystal
Li 0.0000 0.0000 0.0000
Li 0.0000 0.5000 0.3730
Li 0.5000 0.0000 0.6270
Li 0.5000 0.5000 0.0000
Ac 0.0000 0.5000 0.7436
Ac 0.5000 0.0000 0.2564
Sb 0.0000 0.0000 0.5000
Sb 0.0000 0.5000 0.1404
Sb 0.5000 0.0000 0.8596
Pb 0.5000 0.5000 0.5000
```



# 11
The following is a DFT calculation (PBE) of crystalline POsW2 at its relaxed geometry. Values from VASP.

Calculated values
* crystal system: tetragonal
* V: 14.829 Å³ per atom
* magnetization: 0.000 μB per atom
* Fermi-level density of states: 0.6843 states/eV/atom
* energy: -40.7 eV for the cell shown
* formation energy from the elements: 472 meV per atom

```
&SYSTEM
  ibrav = 0, nat = 4, ntyp = 3
/
ATOMIC_SPECIES
P 30.97 P.upf
Os 190.23 Os.upf
W 183.84 W.upf
CELL_PARAMETERS angstrom
3.6971 0.0000 0.0000
0.0000 3.6971 0.0000
0.0000 0.0000 4.3395
ATOMIC_POSITIONS crystal
P 0.0000 0.0000 0.0000
Os 0.5000 0.5000 0.0000
W 0.0000 0.5000 0.5000
W 0.5000 0.0000 0.5000
```



# 12
The following is a DFT calculation (PBE) of crystalline Zn2InAg5 at its relaxed geometry. Values from VASP.

Calculated values
* energy above the lowest structure with this stoichiometry: 0.0167 eV/atom
* crystal system: orthorhombic
* V: 17.917 Å³ per atom
* magnetization: 0.000 μB per atom
* Fermi-level density of states: 0.3103 states/eV/atom
* energy: -19.5 eV for the cell shown
* formation energy from the elements: 4 meV per atom

```
&SYSTEM
  ibrav = 0, nat = 8, ntyp = 3
/
ATOMIC_SPECIES
Zn 65.41 Zn.upf
In 114.82 In.upf
Ag 107.87 Ag.upf
CELL_PARAMETERS angstrom
-1.4652 4.4163 5.5378
1.4652 -4.4163 5.5378
1.4652 4.4163 -5.5378
ATOMIC_POSITIONS crystal
Zn 0.2410 0.2410 0.0000
Zn 0.7590 0.7590 0.0000
In 0.5000 0.0000 0.5000
Ag 0.0000 0.0000 0.0000
Ag 0.1047 0.3671 0.7375
Ag 0.3704 0.6329 0.7375
Ag 0.6296 0.3671 0.2625
Ag 0.8953 0.6329 0.2625
```



Question: The lowest energy belongs to which entry?
Answer: Ca2MgCd2Pd5



Question: Look up the energy of the eleventh one.
Answer: -40.7 eV for the cell shown



Question: What is the magnetization in the twelfth record?
Answer: 0.000 μB per atom



Question: Number 9 is which compound?
Answer: YNiPdAu